(1)
The following is a DFT calculation (GGA-PBE) of a geometry-optimized CsTe2RhPb structure.

Output
E = -2.708 eV/atom
E_form (uncorrected) = 931 meV per atom

Unit cell a=5.920 b=5.920 c=6.763 alpha=90.00 beta=90.00 gamma=90.00
Site moments in Bohr magnetons follow the coordinates.
Element x y z (fractional)
Pb  0.000  0.000  0.000  0.02
Cs  0.000  0.000  0.500  0.01
Te  0.000  0.500  0.000  0.02
Te  0.500  0.000  0.000  0.02
Rh  0.500  0.500  0.500  1.32



(2)
The following is a DFT calculation (GGA-PBE) of a geometry-optimized K2ZrCo structure.

Output
E = -4.040 eV/atom
ΔE to the lowest computed polymorph = 20 meV/atom

Unit cell a=3.552 b=3.552 c=10.710 alpha=90.00 beta=90.00 gamma=90.00
Element x y z (fractional)
Co  0.500  0.500  0.640
K  0.000  0.000  0.931
K  0.500  0.500  0.316
Zr  0.000  0.000  0.612



(3)
The following is a DFT calculation (GGA-PBE) of a geometry-optimized MoAuSe2 structure.

Output
E = -4.830 eV/atom
E_form (uncorrected) = 439 meV per atom
ΔE to the lowest computed polymorph = 611 meV/atom

Unit cell a=4.678 b=4.601 c=3.333 alpha=90.00 beta=90.00 gamma=90.00
Site moments in Bohr magnetons follow the coordinates.
Element x y z (fractional)
Au  0.500  0.000  0.500  -0.01
Mo  0.000  0.500  0.500  1.35
Se  0.000  0.000  0.000  -0.07
Se  0.500  0.500  0.000  -0.06



(4)
The following is a DFT calculation (GGA-PBE) of a geometry-optimized KCaN2 structure.

Output
E = -4.192 eV/atom
E_form (uncorrected) = 745 meV per atom
ΔE to the lowest computed polymorph = 1 meV/atom

Unit cell a=4.504 b=4.504 c=4.504 alpha=60.00 beta=60.00 gamma=60.00
Site moments in Bohr magnetons follow the coordinates.
Element x y z (fractional)
Ca  0.500  0.500  0.500  0.01
K  0.000  0.000  0.000  0.02
N  0.250  0.250  0.250  1.00
N  0.750  0.750  0.750  1.00



(5)
The following is a DFT calculation (GGA-PBE) of a geometry-optimized KTaBe2 structure.

Output
E = -4.241 eV/atom
ΔE to the lowest computed polymorph = 195 meV/atom

Unit cell a=5.052 b=5.052 c=6.586 alpha=77.29 beta=77.29 gamma=30.33
Element x y z (fractional)
Be  0.968  0.968  0.971
Be  0.310  0.310  0.147
K  0.522  0.522  0.468
Ta  0.699  0.699  0.914



(6)
The following is a DFT calculation (GGA-PBE) of a geometry-optimized YC3 structure.

Output
E = -6.136 eV/atom
ΔE to the lowest computed polymorph = 2135 meV/atom

Unit cell a=4.049 b=4.049 c=4.049 alpha=60.00 beta=60.00 gamma=60.00
Element x y z (fractional)
Y  0.750  0.750  0.750
C  0.000  0.000  0.000
C  0.250  0.250  0.250
C  0.500  0.500  0.500



(7)
The following is a DFT calculation (GGA-PBE) of a geometry-optimized CeTmInOs structure.

Output
E = -6.472 eV/atom
ΔE to the lowest computed polymorph = 0 meV/atom

Unit cell a=3.338 b=3.338 c=8.413 alpha=90.00 beta=90.00 gamma=90.00
Site moments in Bohr magnetons follow the coordinates.
Element x y z (fractional)
Ce  0.500  0.500  0.776  0.16
Tm  0.500  0.500  0.365  0.00
In  0.000  0.000  0.079  0.00
Os  0.000  0.000  0.565  -0.02



(8)
The following is a DFT calculation (GGA-PBE) of a geometry-optimized ScIr2Pb structure.

Output
E = -7.271 eV/atom

Unit cell a=7.208 b=4.351 c=3.756 alpha=89.97 beta=58.63 gamma=127.13
Element x y z (fractional)
Ir  0.000  0.000  0.000
Ir  0.500  0.000  0.500
Pb  0.000  0.500  0.500
Sc  0.500  0.500  0.000



(9)
The following is a DFT calculation (GGA-PBE) of a geometry-optimized Cr3Si5 structure.

Output
E = -6.848 eV/atom
E_form (uncorrected) = 150 meV per atom

Unit cell a=6.963 b=6.963 c=6.963 alpha=96.56 beta=96.56 gamma=140.50
Site moments in Bohr magnetons follow the coordinates.
Element x y z (fractional)
Cr  0.327  0.827  0.154  0.77
Cr  0.673  0.173  0.846  0.77
Cr  0.173  0.327  0.500  0.77
Cr  0.827  0.673  0.500  0.77
Cr  0.750  0.750  0.000  1.09
Cr  0.250  0.250  0.000  1.09
Si  0.765  0.930  0.695  -0.04
Si  0.235  0.070  0.305  -0.04
Si  0.735  0.430  0.165  -0.04
Si  0.265  0.570  0.835  -0.04
Si  0.930  0.235  0.165  -0.04
Si  0.070  0.765  0.835  -0.04
Si  0.430  0.265  0.695  -0.04
Si  0.570  0.735  0.305  -0.04
Si  0.250  0.750  0.500  -0.02
Si  0.750  0.250  0.500  -0.02



(10)
The following is a DFT calculation (GGA-PBE) of a geometry-optimized ErTmCdTc structure.

Output
E = -5.206 eV/atom

Unit cell a=4.988 b=4.988 c=4.988 alpha=60.00 beta=60.00 gamma=60.00
Element x y z (fractional)
Cd  0.750  0.750  0.750
Tm  0.000  0.000  0.000
Tc  0.250  0.250  0.250
Er  0.500  0.500  0.500



(11)
The following is a DFT calculation (GGA-PBE) of a geometry-optimized AgGeBi2Ru structure.

Output
E = -4.210 eV/atom

Unit cell a=5.142 b=5.278 c=5.142 alpha=90.00 beta=90.00 gamma=90.00
Element x y z (fractional)
Ru  0.000  0.000  0.000
Ge  0.500  0.500  0.500
Bi  0.000  0.000  0.500
Bi  0.500  0.000  0.000
Ag  0.000  0.500  0.000



(12)
The following is a DFT calculation (GGA-PBE) of a geometry-optimized TlTePb2S4 structure.

Output
E = -3.899 eV/atom
E_form (uncorrected) = -220 meV per atom

Unit cell a=8.254 b=8.254 c=8.324 alpha=117.18 beta=117.18 gamma=90.03
Element x y z (fractional)
Tl  0.000  0.500  0.000
Tl  0.000  0.500  0.500
Te  0.500  0.500  0.500
Te  0.000  0.000  0.000
Pb  0.500  0.000  0.000
Pb  0.500  0.000  0.500
Pb  0.000  0.000  0.500
Pb  0.500  0.500  0.000
S  0.252  0.779  0.026
S  0.721  0.248  0.474
S  0.279  0.752  0.526
S  0.748  0.221  0.974
S  0.784  0.792  0.041
S  0.708  0.716  0.459
S  0.292  0.284  0.541
S  0.216  0.208  0.959



(13)
The following is a DFT calculation (GGA-PBE) of a geometry-optimized PmLuSi structure.

Output
E = -5.226 eV/atom
E_form (uncorrected) = -328 meV per atom
ΔE to the lowest computed polymorph = 105 meV/atom

Unit cell a=4.193 b=4.663 c=4.663 alpha=120.00 beta=90.00 gamma=90.00
Element x y z (fractional)
Si  0.088  0.000  0.000
Lu  0.217  0.333  0.667
Pm  0.695  0.667  0.333



(14)
The following is a DFT calculation (GGA-PBE) of a geometry-optimized Ce4CdIr2 structure.

Output
E = -6.490 eV/atom

Unit cell a=4.170 b=4.170 c=13.257 alpha=80.95 beta=80.95 gamma=60.00
Site moments in Bohr magnetons follow the coordinates.
Element x y z (fractional)
Ce  0.394  0.394  0.817  0.69
Ce  0.197  0.197  0.408  0.54
Ce  0.803  0.803  0.592  0.54
Ce  0.606  0.606  0.183  0.69
Cd  0.000  0.000  0.000  0.01
Ir  0.100  0.100  0.700  -0.05
Ir  0.900  0.900  0.300  -0.05



(15)
The following is a DFT calculation (GGA-PBE) of a geometry-optimized IrRu2Au structure.

Output
E = -7.390 eV/atom
ΔE to the lowest computed polymorph = 68 meV/atom

Unit cell a=2.762 b=3.893 c=5.602 alpha=90.00 beta=90.00 gamma=90.00
Element x y z (fractional)
Au  0.500  0.500  0.250
Ir  0.500  0.500  0.750
Ru  0.000  0.000  0.980
Ru  0.000  0.000  0.520



(16)
The following is a DFT calculation (GGA-PBE) of a geometry-optimized LiBiRhPb structure.

Output
E = -4.397 eV/atom

Unit cell a=4.883 b=4.883 c=4.883 alpha=60.00 beta=60.00 gamma=60.00
Element x y z (fractional)
Pb  0.250  0.250  0.250
Rh  0.500  0.500  0.500
Bi  0.750  0.750  0.750
Li  0.000  0.000  0.000



(17)
The following is a DFT calculation (GGA-PBE) of a geometry-optimized Er2NbZn structure.

Output
E = -5.113 eV/atom
ΔE to the lowest computed polymorph = 0 meV/atom

Unit cell a=3.305 b=3.305 c=8.311 alpha=90.00 beta=90.00 gamma=90.00
Element x y z (fractional)
Nb  0.500  0.500  0.500
Zn  0.500  0.500  0.000
Er  0.000  0.000  0.760
Er  0.000  0.000  0.240



(18)
The following is a DFT calculation (GGA-PBE) of a geometry-optimized SmHo6Tm3 structure.

Output
E = -4.434 eV/atom
ΔE to the lowest computed polymorph = 0 meV/atom

Unit cell a=6.327 b=11.417 c=11.417 alpha=130.50 beta=90.00 gamma=90.00
Element x y z (fractional)
Sm  0.011  0.162  0.838
Sm  0.511  0.838  0.162
Ho  0.072  0.739  0.621
Ho  0.572  0.621  0.739
Ho  0.329  0.457  0.895
Ho  0.829  0.895  0.457
Ho  0.314  0.985  0.015
Ho  0.786  0.301  0.699
Ho  0.286  0.699  0.301
Ho  0.814  0.015  0.985
Ho  0.329  0.105  0.543
Ho  0.829  0.543  0.105
Ho  0.072  0.379  0.261
Ho  0.572  0.261  0.379
Tm  0.487  0.956  0.704
Tm  0.987  0.704  0.956
Tm  0.097  0.418  0.582
Tm  0.597  0.582  0.418
Tm  0.987  0.044  0.296
Tm  0.487  0.296  0.044



(19)
The following is a DFT calculation (GGA-PBE) of a geometry-optimized HoTiGe structure.

Output
E = -6.393 eV/atom

Unit cell a=4.049 b=4.049 c=7.637 alpha=90.00 beta=90.00 gamma=90.00
Site moments in Bohr magnetons follow the coordinates.
Element x y z (fractional)
Ho  0.000  0.500  0.343  -0.14
Ho  0.500  0.000  0.657  -0.14
Ti  0.500  0.500  0.000  0.40
Ti  0.000  0.000  0.000  0.40
Ge  0.500  0.000  0.245  0.00
Ge  0.000  0.500  0.755  0.00



(20)
The following is a DFT calculation (GGA-PBE) of a geometry-optimized La7Ho5 structure.

Output
E = -4.763 eV/atom
ΔE to the lowest computed polymorph = 0 meV/atom

Unit cell a=3.681 b=9.705 c=12.370 alpha=73.60 beta=81.44 gamma=79.07
Element x y z (fractional)
La  0.640  0.972  0.748
La  0.360  0.028  0.252
La  0.027  0.696  0.250
La  0.973  0.304  0.750
La  0.332  0.331  0.005
La  0.500  0.500  0.500
La  0.668  0.669  0.995
Ho  0.830  0.834  0.506
Ho  0.170  0.166  0.494
Ho  0.692  0.362  0.253
Ho  0.308  0.638  0.747
Ho  0.000  0.000  0.000



(21)
The following is a DFT calculation (GGA-PBE) of a geometry-optimized ScSn2Pb structure.

Output
E = -4.593 eV/atom

Unit cell a=4.841 b=4.841 c=6.407 alpha=67.81 beta=67.81 gamma=60.00
Element x y z (fractional)
Sc  0.675  0.675  0.974
Sn  0.067  0.067  0.798
Sn  0.264  0.264  0.208
Pb  0.493  0.493  0.521



(22)
The following is a DFT calculation (GGA-PBE) of a geometry-optimized Rb2AcNpTe4 structure.

Output
E = -5.115 eV/atom
E_form (uncorrected) = -1171 meV per atom

Unit cell a=4.748 b=8.263 c=8.973 alpha=107.79 beta=90.00 gamma=90.00
Site moments in Bohr magnetons follow the coordinates.
Element x y z (fractional)
Rb  0.500  0.000  0.500  0.00
Rb  0.000  0.500  0.500  0.00
Ac  0.500  0.500  0.000  0.01
Np  0.000  0.000  0.000  4.00
Te  0.500  0.221  0.202  -0.05
Te  0.500  0.779  0.798  -0.05
Te  0.000  0.251  0.790  -0.02
Te  0.000  0.749  0.210  -0.02



(23)
The following is a DFT calculation (GGA-PBE) of a geometry-optimized U4Te3Se3 structure.

Output
E = -7.364 eV/atom
E_form (uncorrected) = -861 meV per atom

Unit cell a=4.046 b=11.337 c=11.813 alpha=90.00 beta=90.00 gamma=90.00
Site moments in Bohr magnetons follow the coordinates.
Element x y z (fractional)
U  0.500  0.256  0.675  -2.60
U  0.500  0.744  0.175  -2.60
U  0.000  0.235  0.307  2.60
U  0.000  0.765  0.807  2.60
U  0.000  0.936  0.496  2.55
U  0.000  0.064  0.996  2.55
U  0.500  0.565  0.521  -2.53
U  0.500  0.435  0.021  -2.53
Te  0.000  0.693  0.372  0.04
Te  0.000  0.307  0.872  0.04
Te  0.000  0.045  0.732  -0.01
Te  0.000  0.955  0.232  -0.01
Te  0.500  0.451  0.278  0.01
Te  0.500  0.549  0.778  0.01
Se  0.000  0.378  0.541  0.05
Se  0.000  0.622  0.041  0.05
Se  0.500  0.119  0.454  -0.04
Se  0.500  0.881  0.954  -0.04
Se  0.500  0.806  0.624  -0.04
Se  0.500  0.194  0.124  -0.04



(24)
The following is a DFT calculation (GGA-PBE) of a geometry-optimized CaSmTmSc structure.

Output
E = -4.213 eV/atom

Unit cell a=5.617 b=5.617 c=5.617 alpha=60.00 beta=60.00 gamma=60.00
Element x y z (fractional)
Sc  0.000  0.000  0.000
Ca  0.500  0.500  0.500
Tm  0.250  0.250  0.250
Sm  0.750  0.750  0.750



(25)
The following is a DFT calculation (GGA-PBE) of a geometry-optimized K2NpCl2O2 structure.

Output
E = -6.383 eV/atom
E_form (uncorrected) = -2277 meV per atom

Unit cell a=4.360 b=4.360 c=8.957 alpha=104.09 beta=104.09 gamma=90.00
Site moments in Bohr magnetons follow the coordinates.
Element x y z (fractional)
K  0.366  0.366  0.732  0.00
K  0.634  0.634  0.268  0.00
Np  0.000  0.000  0.000  3.13
Cl  0.168  0.168  0.336  -0.01
Cl  0.832  0.832  0.664  -0.01
O  0.000  0.500  0.000  -0.11
O  0.500  0.000  0.000  -0.11



(26)
The following is a DFT calculation (GGA-PBE) of a geometry-optimized Tc2Ge6Rh structure.

Output
E = -6.227 eV/atom

Unit cell a=3.309 b=6.461 c=7.915 alpha=114.09 beta=101.99 gamma=90.00
Element x y z (fractional)
Tc  0.340  0.340  0.680
Tc  0.660  0.660  0.320
Ge  0.831  0.031  0.661
Ge  0.169  0.370  0.339
Ge  0.169  0.969  0.339
Ge  0.500  0.297  0.000
Ge  0.831  0.630  0.661
Ge  0.500  0.703  0.000
Rh  0.000  0.000  0.000